Record 1
Na4TlPb2 | PBE-GGA | relaxed

Cell and atoms, written as CIF:
```
data_Na4TlPb2
_chemical_formula_sum 'Na8 Tl2 Pb4'
_space_group_name_H-M_alt 'I 4/m m m'
_space_group_IT_number 139
_space_group_name_Hall '-I 4 2'
_cell_length_a 5.852
_cell_length_b 5.852
_cell_length_c 15.585
_cell_angle_alpha 90.00
_cell_angle_beta 90.00
_cell_angle_gamma 90.00
loop_
_atom_site_label
_atom_site_type_symbol
_atom_site_fract_x
_atom_site_fract_y
_atom_site_fract_z
_atom_site_occupancy
Na1 Na 0.000 0.000 0.199 1
Na2 Na 0.000 0.500 0.000 1
Tl1 Tl 0.000 0.000 0.000 1
Pb1 Pb 0.000 0.000 0.403 1
```

Calculated formation energy (eV/atom): 0.08

---

Record 2
TbTh2Tc | PBE-GGA | relaxed

Cell and atoms, written as CIF:
```
data_TbTh2Tc
_chemical_formula_sum 'Tb2 Th4 Tc2'
_space_group_name_H-M_alt 'P 1 21/m 1'
_space_group_IT_number 11
_cell_length_a 3.900
_cell_length_b 9.683
_cell_length_c 6.232
_cell_angle_alpha 90.00
_cell_angle_beta 108.23
_cell_angle_gamma 90.00
loop_
_space_group_symop_operation_xyz
'x,y,z'
'-x,-y,-z'
'-x,y+1/2,-z'
'x,-y+1/2,z'
loop_
_atom_site_label
_atom_site_type_symbol
_atom_site_fract_x
_atom_site_fract_y
_atom_site_fract_z
_atom_site_occupancy
Tb1 Tb 0.080 0.250 0.158 1
Th1 Th 0.360 0.064 0.719 1
Tc1 Tc 0.214 0.750 0.431 1
```

Calculated formation energy (eV/atom): -0.10

---

Record 3
Fe2CoAu2 | PBE-GGA | relaxed

Cell and atoms, written as CIF:
```
data_Fe2CoAu2
_chemical_formula_sum 'Fe4 Co2 Au4'
_space_group_name_H-M_alt 'P 4/m b m'
_space_group_IT_number 127
_space_group_name_Hall '-P 4 2ab'
_cell_length_a 5.848
_cell_length_b 5.848
_cell_length_c 4.112
_cell_angle_alpha 90.00
_cell_angle_beta 90.00
_cell_angle_gamma 90.00
loop_
_atom_site_label
_atom_site_type_symbol
_atom_site_fract_x
_atom_site_fract_y
_atom_site_fract_z
_atom_site_occupancy
Fe1 Fe 0.125 0.375 0.000 1
Co1 Co 0.000 0.000 0.000 1
Au1 Au 0.178 0.678 0.500 1
```

Calculated formation energy (eV/atom): 0.63

---

Record 4
VGaFe3 | PBE-GGA | relaxed

Cell and atoms, written as CIF:
```
data_VGaFe3
_chemical_formula_sum 'V4 Ga4 Fe12'
_space_group_name_H-M_alt 'C m c m'
_space_group_IT_number 63
_space_group_name_Hall '-C 2c 2'
_cell_length_a 4.053
_cell_length_b 14.419
_cell_length_c 4.051
_cell_angle_alpha 90.00
_cell_angle_beta 90.00
_cell_angle_gamma 90.00
loop_
_atom_site_label
_atom_site_type_symbol
_atom_site_fract_x
_atom_site_fract_y
_atom_site_fract_z
_atom_site_occupancy
V1 V 0.000 0.152 0.250 1
Ga1 Ga 0.000 0.351 0.250 1
Fe1 Fe 0.000 0.047 0.750 1
Fe2 Fe 0.000 0.250 0.750 1
Fe3 Fe 0.000 0.453 0.750 1
```

Calculated formation energy (eV/atom): -0.19

---

Record 5
Sm2Zn3InNi12 | PBE-GGA | relaxed

Cell and atoms, written as CIF:
```
data_Sm2Zn3InNi12
_chemical_formula_sum 'Sm6 Zn9 In3 Ni36'
_space_group_name_H-M_alt 'R -3 m'
_space_group_IT_number 166
_space_group_name_Hall '-R 3 2"'
_cell_length_a 6.1705
_cell_length_b 6.1705
_cell_length_c 25.8672
_cell_angle_alpha 90.00
_cell_angle_beta 90.00
_cell_angle_gamma 120.00
loop_
_atom_site_label
_atom_site_type_symbol
_atom_site_fract_x
_atom_site_fract_y
_atom_site_fract_z
_atom_site_occupancy
Sm1 Sm 0.0000 0.0000 0.1383 1
Zn1 Zn 0.0000 0.5000 0.0000 1
In1 In 0.0000 0.0000 0.5000 1
Ni1 Ni 0.0635 0.5318 0.9002 1
Ni2 Ni 0.0794 0.5397 0.6227 1
```

Calculated formation energy (eV/atom): 0.07

---

Record 6
SrLuZnPd | PBE-GGA | relaxed

Cell and atoms, written as CIF:
```
data_SrLuZnPd
_chemical_formula_sum 'Sr4 Lu4 Zn4 Pd4'
_space_group_name_H-M_alt 'F -4 3 m'
_space_group_IT_number 216
_space_group_name_Hall 'F -4 2 3'
_cell_length_a 7.236
_cell_length_b 7.236
_cell_length_c 7.236
_cell_angle_alpha 90.00
_cell_angle_beta 90.00
_cell_angle_gamma 90.00
loop_
_atom_site_label
_atom_site_type_symbol
_atom_site_fract_x
_atom_site_fract_y
_atom_site_fract_z
_atom_site_occupancy
Sr1 Sr 0.000 0.000 0.000 1
Lu1 Lu 0.000 0.000 0.500 1
Zn1 Zn 0.250 0.250 0.250 1
Pd1 Pd 0.250 0.250 0.750 1
```

Calculated formation energy (eV/atom): -0.38

---

Record 7
ZnTcH3 | PBE-GGA | relaxed

Cell and atoms, written as CIF:
```
data_ZnTcH3
_chemical_formula_sum 'Zn1 Tc1 H3'
_space_group_name_H-M_alt 'P m -3 m'
_space_group_IT_number 221
_space_group_name_Hall '-P 4 2 3'
_cell_length_a 3.362
_cell_length_b 3.362
_cell_length_c 3.362
_cell_angle_alpha 90.00
_cell_angle_beta 90.00
_cell_angle_gamma 90.00
loop_
_atom_site_label
_atom_site_type_symbol
_atom_site_fract_x
_atom_site_fract_y
_atom_site_fract_z
_atom_site_occupancy
Zn1 Zn 0.000 0.000 0.000 1
Tc1 Tc 0.500 0.500 0.500 1
H1 H 0.000 0.000 0.500 1
```

Electronic total energy (eV per atom): -3.568

---

Record 8
Pm3Ho2ScSe6 | PBE-GGA | relaxed

Cell and atoms, written as CIF:
```
data_Pm3Ho2ScSe6
_chemical_formula_sum 'Pm6 Ho4 Sc2 Se12'
_space_group_name_H-M_alt 'C 1 2/m 1'
_space_group_IT_number 12
_cell_length_a 17.950
_cell_length_b 4.062
_cell_length_c 8.285
_cell_angle_alpha 90.00
_cell_angle_beta 104.70
_cell_angle_gamma 90.00
loop_
_space_group_symop_operation_xyz
'x,y,z'
'-x,-y,-z'
'-x,y,-z'
'x,-y,z'
'x+1/2,y+1/2,z'
'-x+1/2,-y+1/2,-z'
'-x+1/2,y+1/2,-z'
'x+1/2,-y+1/2,z'
loop_
_atom_site_label
_atom_site_type_symbol
_atom_site_fract_x
_atom_site_fract_y
_atom_site_fract_z
_atom_site_occupancy
Pm1 Pm 0.000 0.000 0.000 1
Pm2 Pm 0.169 0.500 0.336 1
Ho1 Ho 0.166 0.500 0.832 1
Sc1 Sc 0.000 0.000 0.500 1
Se1 Se 0.001 0.500 0.733 1
Se2 Se 0.159 0.000 0.588 1
Se3 Se 0.170 0.000 0.076 1
```

Formation energy without anion corrections (eV per atom): -1.75

---

Sequential magnetization output: 0.0 0.0 0.0 13.2 0.0 0.0 0.0 0.0 Bohr magnetons per cell